1.
## AlCr3 (PBE-GGA)

Data for AlCr3 after structural relaxation.

a b c (Å): 4.973 4.973 4.314
angles (deg): 90.00 90.00 97.26
Sites, in units of the cell vectors:
1 Al 0.391 0.391 0.250
2 Al 0.609 0.609 0.750
3 Cr 0.548 0.905 0.250
4 Cr 0.020 0.020 0.250
5 Cr 0.905 0.548 0.250
6 Cr 0.452 0.095 0.750
7 Cr 0.095 0.452 0.750
8 Cr 0.980 0.980 0.750

Values from the calculation:
The calculation puts the volume at 13.2 A^3/atom.

=====

2.
## MnB3Mo (PBE-GGA)

Data for MnB3Mo after structural relaxation.

a b c (Å): 4.003 4.003 4.003
angles (deg): 90.00 90.00 90.00
Sites, in units of the cell vectors:
1 Mn 0.500 0.500 0.500
2 B 0.000 0.500 0.000
3 B 0.500 0.000 0.000
4 B 0.000 0.000 0.500
5 Mo 0.000 0.000 0.000

Values from the calculation:
As for the energy above the most stable polymorph in this dataset: 2128 meV/atom. The calculation puts the volume at 12.8 A^3/atom.

=====

3.
## NdEuDyZn (PBE-GGA)

Data for NdEuDyZn after structural relaxation.

a b c (Å): 5.455 5.455 5.455
angles (deg): 60.00 60.00 60.00
Sites, in units of the cell vectors:
1 Eu 0.500 0.500 0.500
2 Nd 0.250 0.250 0.250
3 Dy 0.750 0.750 0.750
4 Zn 0.000 0.000 0.000

Values from the calculation:
The calculation puts the volume at 28.7 A^3/atom.

=====

4.
## La2Ta (PBE-GGA)

Data for La2Ta after structural relaxation.

a b c (Å): 9.321 9.321 5.128
angles (deg): 90.00 90.00 156.55
Sites, in units of the cell vectors:
1 Ta 0.459 0.541 0.750
2 Ta 0.541 0.459 0.250
3 La 0.089 0.911 0.750
4 La 0.803 0.197 0.750
5 La 0.197 0.803 0.250
6 La 0.911 0.089 0.250

Values from the calculation:
As for the energy above the most stable polymorph in this dataset: 139 meV/atom. The calculation puts the volume at 29.6 A^3/atom.

=====

| no. | DFT formation energy (meV per atom) |
| --- | --- |
| 1 | 424 |
| 2 | 1717 |
| 3 | 68 |
| 4 | 417 |